Record 1
VASP calculation (PBE) on a relaxed structure of Fe2NiH.

## Properties
**E**: -6.49 eV per atom
**D(E_F)**: 0.77 states/eV/atom
**Energy above the most stable polymorph in this dataset**: 41 meV per atom
**Space-group type**: Immm (71)

Structure (POSCAR):
```
Fe2NiH
1.0
-1.2784 1.7749 4.0274
1.2784 -1.7749 4.0274
1.2784 1.7749 -4.0274
Fe Ni H
2 1 1
Direct
0.1717 0.1717 0.0000
0.8283 0.8283 0.0000
0.5000 0.5000 0.0000
0.0000 0.5000 0.5000
```

***

Record 2
VASP calculation (PBE) on a relaxed structure of Fe2Ni6H.

## Properties
**E**: -6.14 eV per atom
**D(E_F)**: 1.05 states/eV/atom
**Space-group type**: Cmmm (65)

Structure (POSCAR):
```
Fe2Ni6H
1.0
3.5681 -5.0469 0.0000
3.5681 5.0469 0.0000
0.0000 0.0000 2.5240
Fe Ni H
2 6 1
Direct
0.1277 0.8723 0.0000
0.8723 0.1277 0.0000
0.0000 0.5000 0.5000
0.2415 0.2415 0.5000
0.3707 0.6293 0.0000
0.5000 0.0000 0.5000
0.6293 0.3707 0.0000
0.7585 0.7585 0.5000
0.5000 0.5000 0.5000
```

***

Record 3
VASP calculation (PBE) on a relaxed structure of Fe2NiH.

## Properties
**E**: -6.51 eV per atom
**D(E_F)**: 0.83 states/eV/atom
**Energy above the most stable polymorph in this dataset**: 22 meV per atom
**Space-group type**: R-3m (166)

Structure (POSCAR):
```
Fe2NiH
1.0
1.2814 0.7398 6.3529
-1.2814 0.7398 6.3529
0.0000 -1.4797 6.3529
Fe Ni H
2 1 1
Direct
0.2269 0.2269 0.2269
0.7731 0.7731 0.7731
0.0000 0.0000 0.0000
0.5000 0.5000 0.5000
```

***

Record 4
VASP calculation (PBE) on a relaxed structure of FeNi4H6.

## Properties
**E**: -4.70 eV per atom
**D(E_F)**: 0.42 states/eV/atom
**Space-group type**: Cmcm (63)

Structure (POSCAR):
```
FeNi4H6
1.0
1.3115 -4.3625 0.0000
1.3115 4.3625 0.0000
0.0000 0.0000 12.2220
Fe Ni H
2 8 12
Direct
0.1697 0.8303 0.7500
0.8303 0.1697 0.2500
0.0916 0.9084 0.1367
0.0916 0.9084 0.3633
0.3615 0.6385 0.0515
0.3615 0.6385 0.4485
0.6385 0.3615 0.5515
0.6385 0.3615 0.9485
0.9084 0.0916 0.6367
0.9084 0.0916 0.8633
0.0000 0.0000 0.0000
0.0000 0.0000 0.5000
0.1919 0.8081 0.2500
0.2753 0.7247 0.5858
0.2753 0.7247 0.9142
0.4627 0.5373 0.1682
0.4627 0.5373 0.3318
0.5373 0.4627 0.6682
0.5373 0.4627 0.8318
0.7247 0.2753 0.0858
0.7247 0.2753 0.4142
0.8081 0.1919 0.7500
```